Here is crystalline Ce3Sb2N at its relaxed geometry from the Alexandria database. Energies are from PBE-GGA.

Cell: 7.477 7.477 7.477 Å, 149.69 131.75 58.05°
Fractional positions:
Ce 0.000 0.000 0.000
Ce 0.375 0.375 0.000
Ce 0.625 0.625 0.000
Sb 0.183 0.683 0.500
Sb 0.817 0.317 0.500
N 0.500 0.000 0.500

Results
* magnetic moment: 0.3758 μB/atom
* E_form (uncorrected): -932 meV per atom
* ΔE to the lowest computed polymorph: 0.136 eV per atom